Record 1
Material: TaBiI2N
Method: DFT, PBE
State: optimized geometry

Total DFT energy (no corrections) (eV/atom): -3.794
Formation energy (no corrections) (eV per atom): 1.64
Volume (Å³ per cell): 163
ρ (kg/m³): 6714
Relative energy among the computed polymorphs (meV/atom): 1386

a = 6.2705 Å, b = 6.2705 Å, c = 4.1371 Å
α = 90.00°, β = 90.00°, γ = 90.00°
Closest atoms and distances in Å follow each position.
Atoms (fractional coordinates):
Ta 0.0000 0.0000 0.0000  8 I 3.76, 2 Ta 4.14
Bi 0.5000 0.5000 0.5000  2 N 2.07
I 0.0000 0.5000 0.5000  2 Bi 3.14
I 0.5000 0.0000 0.5000  2 Bi 3.14
N 0.5000 0.5000 0.0000  2 Bi 2.07

Record 2
Material: Dy8TlCu2
Method: DFT, PBE
State: optimized geometry

Total DFT energy (no corrections) (eV/atom): -4.356
Volume (Å³ per cell): 305
ρ (kg/m³): 8886
Relative energy among the computed polymorphs (meV/atom): 84
Formation energy (eV per atom): -0.0491

a = 8.0646 Å, b = 8.0646 Å, c = 5.3875 Å
α = 98.81°, β = 98.81°, γ = 114.83°
Closest atoms and distances in Å follow each position.
Atoms (fractional coordinates):
Dy 0.0831 0.3339 0.5880  2 Cu 2.86-3.00
Dy 0.2397 0.7603 0.0000  2 Cu 2.84
Dy 0.3339 0.0831 0.5880  2 Cu 2.86-3.00
Dy 0.3944 0.3944 0.1949  2 Cu 3.11, 4 Dy 3.16-3.46, 1 Tl 3.29
Dy 0.6056 0.6056 0.8051  2 Cu 3.11, 4 Dy 3.16-3.46, 1 Tl 3.29
Dy 0.6661 0.9169 0.4120  2 Cu 2.86-3.00
Dy 0.7603 0.2397 0.0000  2 Cu 2.84
Dy 0.9169 0.6661 0.4120  2 Cu 2.86-3.00
Tl 0.0000 0.0000 0.0000  8 Dy 3.26-3.60
Cu 0.3057 0.6943 0.5000  8 Dy 2.84-3.11
Cu 0.6943 0.3057 0.5000  8 Dy 2.84-3.11

Record 3
Material: Ac2Zn2Rh5Pb
Method: DFT, PBE
State: optimized geometry

Total DFT energy (no corrections) (eV/atom): -5.601
Volume (Å³ per cell): 386
ρ (kg/m³): 11230
Formation energy (eV per atom): -0.4777

a = 10.1036 Å, b = 10.1036 Å, c = 3.7850 Å
α = 90.00°, β = 90.00°, γ = 90.00°
Closest atoms and distances in Å follow each position.
Atoms (fractional coordinates):
Ac 0.1778 0.3222 0.0000  3 Zn 2.90-3.06, 6 Rh 3.17-3.23
Ac 0.3222 0.8222 0.0000  3 Zn 2.90-3.06, 6 Rh 3.17-3.23
Ac 0.6778 0.1778 0.0000  3 Zn 2.90-3.06, 6 Rh 3.17-3.23
Ac 0.8222 0.6778 0.0000  3 Zn 2.90-3.06, 6 Rh 3.17-3.23
Zn 0.1190 0.6190 0.0000  6 Rh 2.54-2.59
Zn 0.3810 0.1190 0.0000  6 Rh 2.54-2.59
Zn 0.6190 0.8810 0.0000  6 Rh 2.54-2.59
Zn 0.8810 0.3810 0.0000  6 Rh 2.54-2.59
Rh 0.0000 0.5000 0.5000  4 Zn 2.54
Rh 0.0661 0.7862 0.5000  2 Zn 2.59
Rh 0.2138 0.0661 0.5000  2 Zn 2.59
Rh 0.2862 0.5661 0.5000  2 Zn 2.59
Rh 0.4339 0.2862 0.5000  2 Zn 2.59
Rh 0.5000 0.0000 0.5000  4 Zn 2.54
Rh 0.5661 0.7138 0.5000  2 Zn 2.59
Rh 0.7138 0.4339 0.5000  2 Zn 2.59
Rh 0.7862 0.9339 0.5000  2 Zn 2.59
Rh 0.9339 0.2138 0.5000  2 Zn 2.59
Pb 0.0000 0.0000 0.0000  8 Rh 2.95
Pb 0.5000 0.5000 0.0000  8 Rh 2.95

Record 4
Material: Pm4Pr3Sb4
Method: DFT, PBE
State: optimized geometry

Total DFT energy (no corrections) (eV/atom): -5.362
Formation energy (no corrections) (eV per atom): -0.83
Volume (Å³ per cell): 348
ρ (kg/m³): 7099

a = 10.3072 Å, b = 10.3072 Å, c = 10.3072 Å
α = 156.50°, β = 126.64°, γ = 59.08°
Closest atoms and distances in Å follow each position.
Atoms (fractional coordinates):
Pm 0.0079 0.8300 0.1779  4 Sb 3.19-3.21, 1 Pm 3.29
Pm 0.3479 0.1700 0.1779  4 Sb 3.19-3.21, 1 Pm 3.29
Pm 0.6521 0.8300 0.8221  4 Sb 3.19-3.21, 1 Pm 3.29
Pm 0.9921 0.1700 0.8221  4 Sb 3.19-3.21, 1 Pm 3.29
Pr 0.0000 0.5000 0.5000  4 Sb 3.37
Pr 0.4024 0.4024 0.0000  6 Sb 3.21-3.38, 1 Pr 3.50
Pr 0.5976 0.5976 0.0000  6 Sb 3.21-3.38, 1 Pr 3.50
Sb 0.2674 0.7674 0.5000  6 Pm 3.19, 2 Pr 3.21
Sb 0.2854 0.0000 0.2854  2 Pm 3.21, 6 Pr 3.37-3.38
Sb 0.7146 0.0000 0.7146  2 Pm 3.21, 6 Pr 3.37-3.38
Sb 0.7326 0.2326 0.5000  6 Pm 3.19, 2 Pr 3.21

Record 5
Material: SrCa2SnS
Method: DFT, PBE
State: optimized geometry

Total DFT energy (no corrections) (eV/atom): -3.851
Formation energy (no corrections) (eV per atom): -1.09
Volume (Å³ per cell): 160
ρ (kg/m³): 3299

a = 5.3444 Å, b = 5.3444 Å, c = 5.6141 Å
α = 90.00°, β = 90.00°, γ = 90.00°
Closest atoms and distances in Å follow each position.
Atoms (fractional coordinates):
Sr 0.0000 0.0000 0.0000  2 S 2.81
Ca 0.0000 0.5000 0.5000  2 S 2.67
Ca 0.5000 0.0000 0.5000  2 S 2.67
Sn 0.5000 0.5000 0.0000  4 Sr 3.78, 8 Ca 3.88
S 0.0000 0.0000 0.5000  4 Ca 2.67, 2 Sr 2.81

Record 6
Material: ZrPdRh
Method: DFT, PBE
State: optimized geometry

Total DFT energy (no corrections) (eV/atom): -7.792
Volume (Å³ per cell): 101
ρ (kg/m³): 9857
Relative energy among the computed polymorphs (meV/atom): 22
Formation energy (eV per atom): -0.7612

a = 4.8467 Å, b = 4.8467 Å, c = 5.6456 Å
α = 100.14°, β = 100.14°, γ = 51.12°
Closest atoms and distances in Å follow each position.
Atoms (fractional coordinates):
Zr 0.0000 0.0000 0.0000  5 Rh 2.74-2.79, 4 Pd 2.80-2.88
Zr 0.7106 0.7106 0.3935  5 Pd 2.76-2.85, 5 Rh 2.77-3.06
Pd 0.0319 0.0319 0.5166  5 Zr 2.76-2.88, 3 Pd 2.82-2.91, 2 Rh 2.97
Pd 0.3552 0.3552 0.7005  3 Pd 2.82-2.91, 5 Rh 2.82-2.93, 4 Zr 2.83-2.85
Rh 0.3580 0.3580 0.2016  6 Zr 2.78-3.12, 4 Pd 2.82-2.97, 2 Rh 2.95
Rh 0.6811 0.6811 0.8962  5 Zr 2.74-2.90, 3 Pd 2.85-2.93, 2 Rh 2.95

Record 7
Material: LaCeCuTc
Method: DFT, PBE
State: optimized geometry

Total DFT energy (no corrections) (eV/atom): -6.308
Volume (Å³ per cell): 89
ρ (kg/m³): 8248
Formation energy (eV per atom): 0.0227

a = 5.0059 Å, b = 5.0059 Å, c = 5.0059 Å
α = 60.00°, β = 60.00°, γ = 60.00°
Closest atoms and distances in Å follow each position.
Atoms (fractional coordinates):
La 0.0000 0.0000 0.0000  4 Cu 3.07, 4 Tc 3.07
Ce 0.5000 0.5000 0.5000  4 Tc 3.07, 4 Cu 3.07
Cu 0.7500 0.7500 0.7500  4 La 3.07, 4 Ce 3.07
Tc 0.2500 0.2500 0.2500  4 La 3.07, 4 Ce 3.07

Record 8
Material: Be2CuRu
Method: DFT, PBE
State: optimized geometry

Total DFT energy (no corrections) (eV/atom): -5.459
Volume (Å³ per cell): 41
ρ (kg/m³): 7432
Relative energy among the computed polymorphs (meV/atom): 52
Formation energy (eV per atom): -0.2524

a = 3.8644 Å, b = 3.8644 Å, c = 3.8644 Å
α = 60.00°, β = 60.00°, γ = 60.00°
Closest atoms and distances in Å follow each position.
Atoms (fractional coordinates):
Be 0.2500 0.2500 0.2500  4 Ru 2.37, 4 Cu 2.37
Be 0.7500 0.7500 0.7500  4 Ru 2.37, 4 Cu 2.37
Cu 0.0000 0.0000 0.0000  8 Be 2.37
Ru 0.5000 0.5000 0.5000  8 Be 2.37